{
  "formula": "Ho2VPbO6",
  "functional": "PBE+U",
  "state": "optimized geometry",
  "cell": [[5.377, 0.000, 0.000], [0.000, 5.377, 0.000], [0.000, 0.000, 5.621]],
  "species": ["Ho", "Ho", "V", "Pb", "O", "O", "O", "O", "O", "O"],
  "fractional_positions": [[0.000, 0.500, 0.000], [0.500, 0.000, 0.000], [0.000, 0.000, 0.653], [0.500, 0.500, 0.562], [0.000, 0.000, 0.339], [0.231, 0.231, 0.798], [0.231, 0.769, 0.798], [0.500, 0.500, 0.152], [0.769, 0.231, 0.798], [0.769, 0.769, 0.798]],
  "m_tot_mub_per_cell": 1.00,
  "space_group": "No. 99"
}



{
  "formula": "Ho2PbWO8",
  "functional": "PBE+U",
  "state": "optimized geometry",
  "cell": [[3.449, -3.598, 0.000], [3.449, 3.598, 0.000], [0.000, 0.000, 6.830]],
  "species": ["Ho", "Ho", "Pb", "W", "O", "O", "O", "O", "O", "O", "O", "O"],
  "fractional_positions": [[0.000, 0.000, 0.243], [0.000, 0.000, 0.757], [0.500, 0.500, 0.500], [0.500, 0.500, 0.000], [0.201, 0.201, 0.500], [0.218, 0.218, 0.000], [0.316, 0.684, 0.214], [0.316, 0.684, 0.786], [0.684, 0.316, 0.214], [0.684, 0.316, 0.786], [0.782, 0.782, 0.000], [0.799, 0.799, 0.500]],
  "m_tot_mub_per_cell": 0.00,
  "space_group": "No. 65"
}



Values of VASP energy, in order: -7.35; -7.36, all in eV per atom.